No. 1
A plane-wave DFT calculation with PBE was carried out for a geometry-optimized Zr3NpN4 structure.

Cell: 5.7248 5.7248 3.2989 Å, 90.00 90.00 109.17°
Element x y z (fractional)
Zr 0.0000 0.0000 0.0000
Zr 0.0000 0.5000 0.5000
Zr 0.5000 0.0000 0.5000
Np 0.5000 0.5000 0.0000
N 0.2447 0.2447 0.5000
N 0.2488 0.7512 0.0000
N 0.7512 0.2488 0.0000
N 0.7553 0.7553 0.5000

Values from the calculation:
**E above lowest polymorph**: 0 meV/atom
**Final energy**: -10.56 eV per atom
**D(E_F)**: 0.811 states/eV per atom
**Formation energy without anion corrections**: -1.58 eV/atom

No. 2
A plane-wave DFT calculation with PBE was carried out for a geometry-optimized Zr4NpN5 structure.

Cell: 5.7092 5.7092 5.7092 Å, 99.64 99.64 131.68°
Element x y z (fractional)
Zr 0.0949 0.3014 0.3963
Zr 0.3014 0.9051 0.2065
Zr 0.6986 0.0949 0.7935
Zr 0.9051 0.6986 0.6037
Np 0.5000 0.5000 0.0000
N 0.0000 0.0000 0.0000
N 0.2003 0.6000 0.8002
N 0.4000 0.2003 0.6003
N 0.6000 0.7997 0.3997
N 0.7997 0.4000 0.1998

Values from the calculation:
**Final energy**: -10.47 eV per atom
**D(E_F)**: 0.816 states/eV per atom
**Formation energy without anion corrections**: -1.60 eV/atom

No. 3
A plane-wave DFT calculation with PBE was carried out for a geometry-optimized Zr3NpN4 structure.

Cell: 4.6665 7.7132 6.6831 Å, 90.00 90.00 90.00°
Element x y z (fractional)
Zr 0.2500 0.0012 0.1642
Zr 0.2500 0.4988 0.1642
Zr 0.2500 0.7500 0.6807
Zr 0.7500 0.2500 0.3193
Zr 0.7500 0.5012 0.8358
Zr 0.7500 0.9988 0.8358
Np 0.2500 0.2500 0.6586
Np 0.7500 0.7500 0.3414
N 0.2500 0.0007 0.8374
N 0.2500 0.2500 0.3169
N 0.2500 0.4993 0.8374
N 0.2500 0.7500 0.3420
N 0.7500 0.2500 0.6580
N 0.7500 0.5007 0.1626
N 0.7500 0.7500 0.6831
N 0.7500 0.9993 0.1626

Values from the calculation:
**E above lowest polymorph**: 189 meV/atom
**Final energy**: -10.37 eV per atom
**D(E_F)**: 0.865 states/eV per atom
**Formation energy without anion corrections**: -1.39 eV/atom

No. 4
A plane-wave DFT calculation with PBE was carried out for a geometry-optimized Zr4NpN4 structure.

Cell: 5.7409 5.7409 5.7409 Å, 99.32 99.32 132.55°
Element x y z (fractional)
Zr 0.1049 0.6900 0.7949
Zr 0.3100 0.1049 0.4149
Zr 0.6900 0.8951 0.5851
Zr 0.8951 0.3100 0.2051
Np 0.5000 0.5000 0.0000
N 0.1963 0.4002 0.5965
N 0.4002 0.8037 0.2039
N 0.5998 0.1963 0.7961
N 0.8037 0.5998 0.4035

Values from the calculation:
**Final energy**: -10.30 eV per atom
**D(E_F)**: 0.796 states/eV per atom
**Formation energy without anion corrections**: -1.36 eV/atom

No. 5
A plane-wave DFT calculation with PBE was carried out for a geometry-optimized ZrNpN structure.

Cell: 6.1893 6.1893 6.1893 Å, 152.73 96.21 90.17°
Element x y z (fractional)
Zr 0.1644 0.1644 0.0000
Zr 0.8356 0.8356 0.0000
Np 0.3572 0.0000 0.3572
Np 0.6428 0.0000 0.6428
N 0.1511 0.5000 0.6511
N 0.8489 0.5000 0.3489

Values from the calculation:
**E above lowest polymorph**: 99 meV/atom
**Final energy**: -10.22 eV per atom
**D(E_F)**: 1.627 states/eV per atom
**Formation energy without anion corrections**: -0.29 eV/atom

No. 6
A plane-wave DFT calculation with PBE was carried out for a geometry-optimized ZrNp3N4 structure.

Cell: 5.8859 5.8859 5.8859 Å, 131.79 131.79 70.56°
Element x y z (fractional)
Zr 0.0000 0.0000 0.0000
Np 0.2500 0.7500 0.5000
Np 0.5000 0.5000 0.0000
Np 0.7500 0.2500 0.5000
N 0.0000 0.5000 0.5000
N 0.2455 0.2455 0.0000
N 0.5000 0.0000 0.5000
N 0.7545 0.7545 0.0000

Values from the calculation:
**Final energy**: -11.36 eV per atom
**D(E_F)**: 1.648 states/eV per atom
**Formation energy without anion corrections**: -1.27 eV/atom

No. 7
A plane-wave DFT calculation with PBE was carried out for a geometry-optimized Zr5Np3N8 structure.

Cell: 6.6684 6.6684 6.6684 Å, 59.77 59.77 59.77°
Element x y z (fractional)
Zr 0.0000 0.0000 0.0000
Zr 0.0000 0.5000 0.5000
Zr 0.5000 0.0000 0.5000
Zr 0.5000 0.5000 0.0000
Zr 0.5000 0.5000 0.5000
Np 0.0000 0.0000 0.5000
Np 0.0000 0.5000 0.0000
Np 0.5000 0.0000 0.0000
N 0.2499 0.2499 0.7451
N 0.2499 0.7451 0.2499
N 0.2541 0.2541 0.2541
N 0.2549 0.7501 0.7501
N 0.7451 0.2499 0.2499
N 0.7459 0.7459 0.7459
N 0.7501 0.2549 0.7501
N 0.7501 0.7501 0.2549

Values from the calculation:
**Final energy**: -10.77 eV per atom
**D(E_F)**: 1.046 states/eV per atom
**Formation energy without anion corrections**: -1.51 eV/atom

No. 8
A plane-wave DFT calculation with PBE was carried out for a geometry-optimized ZrNpN2 structure.

Cell: 6.1970 6.1970 6.1970 Å, 30.37 30.37 30.37°
Element x y z (fractional)
Zr 0.0000 0.0000 0.0000
Np 0.8266 0.8266 0.8266
N 0.4058 0.4058 0.4058
N 0.5872 0.5872 0.5872

Values from the calculation:
**Final energy**: -10.78 eV per atom
**D(E_F)**: 0.749 states/eV per atom
**Formation energy without anion corrections**: -1.25 eV/atom